(1)
ZrTlCu | PBE-GGA | relaxed

a b c (Å): 3.4093 4.3150 8.3241
angles (deg): 90.00 96.62 90.00
Closest atoms and distances in Å follow each position.
Atoms (fractional coordinates):
Zr: 0.0000 0.0000 0.0000  6 Cu 2.73-2.88
Zr: 0.0998 0.5000 0.3600  6 Cu 2.73-2.88
Tl: 0.3664 0.5000 0.7752  1 Cu 2.71, 2 Tl 3.03
Tl: 0.7317 0.0000 0.5848  1 Cu 2.71, 2 Tl 3.03
Cu: 0.5292 0.5000 0.1017  2 Cu 2.52, 1 Tl 2.71, 2 Zr 2.73-2.74
Cu: 0.5718 0.0000 0.2584  2 Cu 2.52, 1 Tl 2.71, 2 Zr 2.73-2.74

## Properties
formation energy from the elements	2	meV per atom
final energy	-30.01	eV/cell
DOS at the Fermi energy	0.76	states/eV per atom

=====

(2)
Pr5Os2Pd | PBE-GGA | relaxed

a b c (Å): 8.9810 8.9810 8.9810
angles (deg): 128.20 128.20 76.30
Closest atoms and distances in Å follow each position.
Atoms (fractional coordinates):
Pr: 0.0000 0.0000 0.0000  4 Os 3.13, 8 Pr 3.49
Pr: 0.0370 0.5370 0.8499  3 Os 3.00-3.05, 2 Pd 3.30
Pr: 0.1871 0.0370 0.5000  3 Os 3.00-3.05, 2 Pd 3.30
Pr: 0.3129 0.8129 0.8499  3 Os 3.00-3.05, 2 Pd 3.30
Pr: 0.4630 0.3129 0.5000  3 Os 3.00-3.05, 2 Pd 3.30
Pr: 0.5000 0.5000 0.0000  4 Os 3.13, 8 Pr 3.49
Pr: 0.5370 0.6871 0.5000  3 Os 3.00-3.05, 2 Pd 3.30
Pr: 0.6871 0.1871 0.1501  3 Os 3.00-3.05, 2 Pd 3.30
Pr: 0.8129 0.9630 0.5000  3 Os 3.00-3.05, 2 Pd 3.30
Pr: 0.9630 0.4630 0.1501  3 Os 3.00-3.05, 2 Pd 3.30
Os: 0.1191 0.3809 0.5000  1 Os 2.64
Os: 0.3809 0.8809 0.2618  1 Os 2.64
Os: 0.6191 0.1191 0.7382  1 Os 2.64
Os: 0.8809 0.6191 0.5000  1 Os 2.64
Pd: 0.2500 0.2500 0.0000  10 Pr 3.30-3.53
Pd: 0.7500 0.7500 0.0000  10 Pr 3.30-3.53

## Properties
formation energy from the elements	-221	meV per atom
final energy	-106.63	eV/cell
DOS at the Fermi energy	0.75	states/eV per atom

=====

(3)
CeGd2Te | PBE-GGA | relaxed

a b c (Å): 4.8324 4.8324 4.7353
angles (deg): 90.00 90.00 90.00
Closest atoms and distances in Å follow each position.
Atoms (fractional coordinates):
Ce: 0.0000 0.0000 0.0000  8 Gd 3.38, 4 Te 3.42
Gd: 0.0000 0.5000 0.5000  4 Ce 3.38, 4 Te 3.38, 4 Gd 3.42
Gd: 0.5000 0.0000 0.5000  4 Ce 3.38, 4 Te 3.38, 4 Gd 3.42
Te: 0.5000 0.5000 0.0000  8 Gd 3.38, 4 Ce 3.42

## Properties
energy relative to the lowest polymorph listed for this composition	0.21	eV per formula unit
final energy	-39.17	eV/cell
DOS at the Fermi energy	2.26	states/eV per atom